# 1
This record from the Alexandria database describes an optimized crystal structure of Ba2ScTi2BiO9. The functional is PBE.

Cell lengths 5.7652, 17.0460, 4.0465 Å; angles 90.00, 90.00, 90.00 degrees
Closest atoms and distances in Å follow each position.
Space group Cmmm (No. 65)
Unique sites:
Ba1 0.0000 0.1670 0.0000 x4  12 O 2.85-2.93
Sc1 0.0000 0.0000 0.5000 x2  6 O 2.02-2.10
Ti1 0.0000 0.3344 0.5000 x4  6 O 1.93-2.04
Bi1 0.0000 0.5000 0.0000 x2  12 O 2.77-2.88
O1 0.0000 0.0000 0.0000 x2  2 Sc 2.02
O2 0.0000 0.3373 0.0000 x4  2 Ti 2.02
O3 0.2297 0.4170 0.5000 x8  1 Ti 1.93, 1 Sc 2.10
O4 0.2500 0.2500 0.5000 x4  2 Ti 2.04

## Properties
**Formation energy from raw total energies**: -2756 meV per atom

# 2
This record from the Alexandria database describes an optimized crystal structure of MgFeMo2. The functional is PBE.

Cell lengths 2.7760, 2.7760, 27.5831 Å; angles 90.00, 90.00, 120.00 degrees
Closest atoms and distances in Å follow each position.
Space group R-3m (No. 166, hexagonal axes)
Unique sites:
Mg1 0.0000 0.0000 0.0000 x3  6 Mg 2.78, 6 Mo 3.00
Fe1 0.0000 0.0000 0.5000 x3  6 Mo 2.61, 6 Fe 2.78
Mo1 0.0000 0.0000 0.2414 x6  3 Fe 2.61, 6 Mo 2.78

## Properties
**Energy relative to the elements**: 375 meV per atom

# 3
This record from the Alexandria database describes an optimized crystal structure of Dy2AsS. The functional is PBE.

Cell lengths 4.0295, 4.0295, 19.5719 Å; angles 90.00, 90.00, 120.00 degrees
Closest atoms and distances in Å follow each position.
Space group R-3m (No. 166, hexagonal axes)
Unique sites:
Dy1 0.0000 0.0000 0.2493 x6  3 S 2.83, 3 As 2.85
As1 0.0000 0.0000 0.0000 x3  6 Dy 2.85
S1 0.0000 0.0000 0.5000 x3  6 Dy 2.83

## Properties
**Formation energy from raw total energies**: -1791 meV per atom